Arrangement one

A geometry-optimized VGe3O structure, computed with PBE with a Hubbard U.

Cell lengths 4.3626, 4.3626, 4.3626 Å; angles 90.00, 90.00, 90.00 degrees
Last column: nearest neighbours and their distance in Å.
Fractional positions:
O (0.0000, 0.0000, 0.0000)  6 Ge 2.18
V (0.5000, 0.5000, 0.5000)  12 Ge 3.08
Ge (0.0000, 0.0000, 0.5000)  2 O 2.18
Ge (0.5000, 0.0000, 0.0000)  2 O 2.18
Ge (0.0000, 0.5000, 0.0000)  2 O 2.18

Arrangement two

A geometry-optimized VGe3O structure, computed with PBE with a Hubbard U.

Cell lengths 4.7689, 4.7689, 4.7689 Å; angles 90.00, 90.00, 90.00 degrees
Last column: nearest neighbours and their distance in Å.
Fractional positions:
Ge (0.0000, 0.0000, 0.5000)  2 V 2.38
Ge (0.0000, 0.5000, 0.0000)  2 V 2.38
Ge (0.5000, 0.0000, 0.0000)  2 V 2.38
O (0.5000, 0.5000, 0.5000)  12 Ge 3.37
V (0.0000, 0.0000, 0.0000)  6 Ge 2.38

Most stable pick: arrangement one. Distance to second place: 0.632 eV/atom.

Arrangement one

A geometry-optimized V2GeO2 structure, computed with PBE with a Hubbard U.

Cell lengths 6.5011, 6.5011, 3.0853 Å; angles 90.00, 90.00, 90.00 degrees
Last column: nearest neighbours and their distance in Å.
Fractional positions:
Ge (0.5000, 0.5000, 0.0000)  4 O 2.46
Ge (0.0000, 0.0000, 0.0000)  4 O 2.46
V (0.3184, 0.1816, 0.5000)  2 O 2.15
V (0.6816, 0.8184, 0.5000)  2 O 2.15
V (0.1816, 0.6816, 0.5000)  2 O 2.15
V (0.8184, 0.3184, 0.5000)  2 O 2.15
O (0.8452, 0.6548, 0.0000)  2 V 2.15
O (0.3452, 0.8452, 0.0000)  2 V 2.15
O (0.6548, 0.1548, 0.0000)  2 V 2.15
O (0.1548, 0.3452, 0.0000)  2 V 2.15

Arrangement two

A geometry-optimized V2GeO2 structure, computed with PBE with a Hubbard U.

Cell lengths 4.1873, 4.1873, 5.1140 Å; angles 65.83, 65.83, 90.00 degrees
Last column: nearest neighbours and their distance in Å.
Fractional positions:
V (0.7500, 0.2500, 0.5000)  4 O 2.10
V (0.2500, 0.7500, 0.5000)  4 O 2.10
Ge (0.0000, 0.0000, 0.0000)  2 O 2.24
O (0.2686, 0.2686, 0.4627)  4 V 2.10, 1 Ge 2.24
O (0.7313, 0.7313, 0.5373)  4 V 2.10, 1 Ge 2.24

Most stable pick: arrangement two. Distance to second place: 0.323 eV/atom.

Arrangement one

A geometry-optimized GeWO4 structure, computed with PBE with a Hubbard U.

Cell lengths 6.9581, 4.8774, 5.0720 Å; angles 93.75, 90.00, 90.00 degrees
Last column: nearest neighbours and their distance in Å.
Fractional positions:
W (0.1527, 0.0000, 0.2500)  4 O 1.79-1.98
W (0.8473, 0.0000, 0.7500)  4 O 1.79-1.98
O (0.6845, 0.7616, 0.8867)  1 W 1.79
O (0.6845, 0.2384, 0.6133)  1 W 1.79
O (0.3155, 0.7616, 0.3867)  1 W 1.79
O (0.0915, 0.2210, 0.5811)  2 W 1.98-2.21, 1 Ge 2.06
O (0.3155, 0.2384, 0.1133)  1 W 1.79
O (0.9085, 0.2210, 0.0811)  2 W 1.98-2.21, 1 Ge 2.06
O (0.0915, 0.7790, 0.9189)  2 W 1.98-2.21, 1 Ge 2.06
O (0.9085, 0.7790, 0.4189)  2 W 1.98-2.21, 1 Ge 2.06
Ge (0.2855, 0.5000, 0.7500)  2 O 2.06
Ge (0.7145, 0.5000, 0.2500)  2 O 2.06

Arrangement two

A geometry-optimized GeWO4 structure, computed with PBE with a Hubbard U.

Cell lengths 5.0337, 5.5777, 11.7268 Å; angles 90.00, 90.00, 90.00 degrees
Last column: nearest neighbours and their distance in Å.
Fractional positions:
O (0.9004, 0.0967, 0.0984)  1 W 1.94, 1 Ge 1.98
O (0.5996, 0.0967, 0.4016)  1 W 1.94, 1 Ge 1.98
O (0.5024, 0.6408, 0.7959)  2 W 1.89-2.02
O (0.4004, 0.9033, 0.5984)  1 W 1.94, 1 Ge 1.98
O (0.4976, 0.1408, 0.7959)  2 W 1.89-2.02
O (0.4976, 0.3592, 0.2041)  2 W 1.89-2.02
O (0.9976, 0.6408, 0.7041)  2 W 1.89-2.02
O (0.5024, 0.8592, 0.2041)  2 W 1.89-2.02
O (0.0996, 0.5967, 0.0984)  1 W 1.94, 1 Ge 1.98
O (0.9004, 0.4033, 0.9016)  1 W 1.94, 1 Ge 1.98
O (0.0024, 0.3592, 0.2959)  2 W 1.89-2.02
O (0.5996, 0.4033, 0.5984)  1 W 1.94, 1 Ge 1.98
O (0.9976, 0.8592, 0.2959)  2 W 1.89-2.02
O (0.4004, 0.5967, 0.4016)  1 W 1.94, 1 Ge 1.98
O (0.0024, 0.1408, 0.7041)  2 W 1.89-2.02
O (0.0996, 0.9033, 0.9016)  1 W 1.94, 1 Ge 1.98
W (0.7500, 0.3734, 0.7500)  6 O 1.89-2.02
W (0.2500, 0.8734, 0.7500)  6 O 1.89-2.02
W (0.2500, 0.6266, 0.2500)  6 O 1.89-2.02
W (0.7500, 0.1266, 0.2500)  6 O 1.89-2.02
Ge (0.6713, 0.7500, 0.5000)  2 O 1.98
Ge (0.1713, 0.2500, 0.0000)  2 O 1.98
Ge (0.3287, 0.2500, 0.5000)  2 O 1.98
Ge (0.8287, 0.7500, 0.0000)  2 O 1.98

Most stable pick: arrangement two. Distance to second place: 0.078 eV/atom.